Below is crystalline NpNi2Te3 at its relaxed geometry, with properties calculated at the PBE level.

Properties
Uncorrected energy, hartree per atom: -0.220
M_tot, Bohr magnetons per cell: 6.6
ΔE_f (raw), eV per atom: -0.338
Distance to the lowest polymorph of the same formula, meV per atom: 0.0

Structure (CIF):
```
data_NpNi2Te3
_cell_length_a 6.7907
_cell_length_b 4.0138
_cell_length_c 11.0470
_cell_angle_alpha 90.00
_cell_angle_beta 97.94
_cell_angle_gamma 90.00
_space_group_name_H-M_alt 'P 1 21/m 1'
_space_group_IT_number 11
_space_group_name_Hall '-P 2yb'
loop_
_atom_site_label
_atom_site_type_symbol
_atom_site_fract_x
_atom_site_fract_y
_atom_site_fract_z
Np1 Np 0.1769 0.2500 0.3354
Ni1 Ni 0.0471 0.7500 0.0900
Ni2 Ni 0.4739 0.2500 0.5707
Te1 Te 0.1606 0.7500 0.8810
Te2 Te 0.2412 0.7500 0.5624
Te3 Te 0.4036 0.7500 0.1987
```

Below is crystalline YCuSi2 at its relaxed geometry, with properties calculated at the PBE level.

Properties
Uncorrected energy, hartree per atom: -0.208
M_tot, Bohr magnetons per cell: 0.0
ΔE_f (raw), eV per atom: -0.308

Structure (CIF):
```
data_YCuSi2
_cell_length_a 3.7082
_cell_length_b 3.8724
_cell_length_c 10.1545
_cell_angle_alpha 90.00
_cell_angle_beta 90.00
_cell_angle_gamma 90.00
_space_group_name_H-M_alt 'I m m 2'
_space_group_IT_number 44
_space_group_name_Hall 'I 2 -2'
loop_
_atom_site_label
_atom_site_type_symbol
_atom_site_fract_x
_atom_site_fract_y
_atom_site_fract_z
Y1 Y 0.0000 0.0000 0.0000
Cu1 Cu 0.0000 0.5000 0.7518
Si1 Si 0.0000 0.0000 0.6134
Si2 Si 0.0000 0.5000 0.2719
```

Below is crystalline Pr5InNi2 at its relaxed geometry, with properties calculated at the PBE level.

Properties
Uncorrected energy, hartree per atom: -0.185
M_tot, Bohr magnetons per cell: 0.0
Formation energy from the elements, eV per formula unit: -2.091

Structure (CIF):
```
data_Pr5InNi2
_cell_length_a 8.0331
_cell_length_b 8.0331
_cell_length_c 13.7534
_cell_angle_alpha 90.00
_cell_angle_beta 90.00
_cell_angle_gamma 90.00
_space_group_name_H-M_alt 'I 4/m c m'
_space_group_IT_number 140
_space_group_name_Hall '-I 4 2c'
loop_
_atom_site_label
_atom_site_type_symbol
_atom_site_fract_x
_atom_site_fract_y
_atom_site_fract_z
Pr1 Pr 0.0000 0.0000 0.0000
Pr2 Pr 0.1593 0.3407 0.1368
In1 In 0.0000 0.0000 0.2500
Ni1 Ni 0.1218 0.3782 0.5000
```